1.
Compound: DyTm2Au
Source: the Alexandria database
Functional: PBE
Structure: optimized geometry

Structure (POSCAR):
```
DyTm2Au
1.0
1.8232 1.0526 9.8654
-1.8232 1.0526 9.8654
0.0000 -2.1052 9.8654
Dy Tm Au
1 2 1
Cartesian
0.0000 0.0000 0.0000
0.0000 0.0000 6.9953
0.0000 0.0000 22.6010
0.0000 0.0000 14.7981
```

Summary:
N(E_F) ... 1.22 states/eV per atom
Density ... 10.19 g/cm3
Formation energy ... -288.8 meV/atom
Polymorph energy (0 for the lowest one) ... 171 meV per atom
Spin magnetization ... 0.0 μB per cell



2.
Compound: CaMg2GaAu2
Source: the Alexandria database
Functional: PBE
Structure: optimized geometry

Structure (POSCAR):
```
CaMg2GaAu2
1.0
-2.1829 2.1829 8.1827
2.1829 -2.1829 8.1827
2.1829 2.1829 -8.1827
Ca Mg Ga Au
1 2 1 2
Cartesian
0.0000 0.0000 0.0000
2.1829 0.0000 4.0914
0.0000 2.1829 4.0914
0.0000 0.0000 8.1827
0.0000 0.0000 5.7122
0.0000 0.0000 10.6533
```

Summary:
N(E_F) ... 0.68 states/eV per atom
Density ... 5.88 g/cm3
Formation energy ... -302.1 meV/atom
Spin magnetization ... 0.0 μB per cell



3.
Compound: Hg6BiBr3
Source: the Alexandria database
Functional: PBE
Structure: optimized geometry

Structure (POSCAR):
```
Hg6BiBr3
1.0
8.7237 5.0366 1.8088
-8.7237 5.0366 1.8088
0.0000 -10.0733 1.8088
Hg Bi Br
6 1 3
Cartesian
-6.2254 -3.5942 2.6363
0.0000 -4.6131 1.8088
-3.9951 2.3066 1.8088
3.9951 2.3066 1.8088
6.2254 -3.5942 2.6363
0.0000 7.1885 2.6363
0.0000 0.0000 0.5012
-2.0133 -1.1624 1.9448
2.0133 -1.1624 1.9448
0.0000 2.3248 1.9448
```

Summary:
Density ... 5.75 g/cm3
Energy relative to the elements, uncorrected ... -203 meV per atom
Spin magnetization ... 0.0 μB per cell



4.
Compound: Y2TaRe
Source: the Alexandria database
Functional: PBE
Structure: optimized geometry

Structure (POSCAR):
```
Y2TaRe
1.0
2.9582 0.0000 0.0000
0.0000 4.9553 0.0000
0.0000 0.0000 5.8319
Y Ta Re
2 1 1
Cartesian
0.0000 0.0000 1.4010
0.0000 0.0000 4.4309
1.4791 2.4777 2.9160
1.4791 2.4777 0.0000
```

Summary:
N(E_F) ... 0.89 states/eV per atom
Density ... 10.59 g/cm3
Formation energy ... 522.3 meV/atom
Polymorph energy (0 for the lowest one) ... 488 meV per atom
Spin magnetization ... 0.0 μB per cell



5.
Compound: Na3Th2UN6
Source: the Alexandria database
Functional: PBE
Structure: optimized geometry

Structure (POSCAR):
```
Na3Th2UN6
1.0
3.0951 -5.5120 0.0000
3.0951 5.5120 0.0000
-1.9225 0.0000 5.7502
Na Th U N
3 2 1 6
Cartesian
0.0000 0.0000 0.0000
3.0951 1.7153 0.0000
3.0951 -1.7153 0.0000
2.1338 3.6530 2.8751
2.1338 -3.6530 2.8751
2.1338 0.0000 2.8751
1.1393 1.7149 1.7800
0.3115 0.0000 3.9463
1.1393 -1.7149 1.7800
3.1283 1.7149 3.9702
3.9561 0.0000 1.8039
3.1283 -1.7149 3.9702
```

Summary:
N(E_F) ... 0.58 states/eV per atom
Density ... 7.24 g/cm3
Energy relative to the elements, uncorrected ... -978 meV per atom
Spin magnetization ... 0.0 μB per cell



6.
Compound: Ba2NaSb4Pd3
Source: the Alexandria database
Functional: PBE
Structure: optimized geometry

Structure (POSCAR):
```
Ba2NaSb4Pd3
1.0
4.8558 0.0000 0.0000
0.0000 4.8558 0.0000
0.0000 0.0000 11.1966
Ba Na Sb Pd
2 1 4 3
Cartesian
0.0000 2.4279 2.8002
2.4279 0.0000 8.3963
0.0000 0.0000 5.5983
0.0000 0.0000 0.0000
0.0000 2.4279 7.1968
2.4279 0.0000 3.9997
2.4279 2.4279 0.0000
0.0000 2.4279 9.9098
2.4279 0.0000 1.2868
2.4279 2.4279 5.5983
```

Summary:
N(E_F) ... 0.53 states/eV per atom
Density ... 6.94 g/cm3
Energy relative to the elements, uncorrected ... -717 meV per atom
Spin magnetization ... 0.0 μB per cell



7.
Compound: InHgSe2
Source: the Alexandria database
Functional: PBE
Structure: optimized geometry

Structure (POSCAR):
```
InHgSe2
1.0
3.4465 0.0000 0.0000
0.0000 5.4773 0.0000
-0.7750 0.0000 6.0811
In Hg Se
1 1 2
Cartesian
0.0000 0.0000 0.0000
1.3357 0.0000 3.0406
0.9004 2.7386 4.9266
1.7711 2.7386 1.1546
```

Summary:
N(E_F) ... 0.17 states/eV per atom
Density ... 6.85 g/cm3
Energy relative to the elements, uncorrected ... 10 meV per atom
Spin magnetization ... 0.0 μB per cell



8.
Compound: Nd2Cu2Pd15
Source: the Alexandria database
Functional: PBE
Structure: optimized geometry

Structure (POSCAR):
```
Nd2Cu2Pd15
1.0
4.5636 2.6348 4.5583
-4.5636 2.6348 4.5583
0.0000 -5.2695 4.5583
Nd Cu Pd
2 2 15
Cartesian
0.0000 0.0000 2.2428
0.0000 0.0000 11.4322
0.0000 0.0000 5.5719
0.0000 0.0000 8.1031
-2.2818 -1.3174 4.5583
0.0000 -2.6402 4.3947
-2.2865 1.3201 4.3947
-1.3844 -2.3978 6.8375
-2.7688 0.0000 6.8375
-2.2865 -1.3201 9.2804
-2.2818 1.3174 9.1167
1.3844 -2.3978 6.8375
0.0000 2.6348 4.5583
-1.3844 2.3978 6.8375
2.2865 1.3201 4.3947
2.7688 0.0000 6.8375
1.3844 2.3978 6.8375
2.2865 -1.3201 9.2804
0.0000 2.6402 9.2804
```

Summary:
N(E_F) ... 1.04 states/eV per atom
Density ... 10.16 g/cm3
Formation energy ... -299.3 meV/atom
Spin magnetization ... 0.0 μB per cell



9.
Compound: Sr4Zn
Source: the Alexandria database
Functional: PBE
Structure: optimized geometry

Structure (POSCAR):
```
Sr4Zn
1.0
-5.1982 5.1982 2.0503
5.1982 -5.1982 2.0503
5.1982 5.1982 -2.0503
Sr Zn
4 1
Cartesian
2.6602 0.7019 0.0000
4.4963 -2.5380 2.0503
0.7019 7.7362 0.0000
2.5380 4.4963 2.0503
0.0000 0.0000 2.0503
```

Summary:
N(E_F) ... 1.48 states/eV per atom
Density ... 3.12 g/cm3
Formation energy ... -53.8 meV/atom
Polymorph energy (0 for the lowest one) ... 19 meV per atom
Spin magnetization ... 0.0 μB per cell



10.
Compound: SmYAlTl
Source: the Alexandria database
Functional: PBE
Structure: optimized geometry

Structure (POSCAR):
```
SmYAlTl
1.0
3.6852 0.0000 0.0000
0.0000 3.6852 0.0000
0.0000 0.0000 7.7430
Sm Y Al Tl
1 1 1 1
Cartesian
0.0000 0.0000 0.0000
0.0000 0.0000 4.0858
1.8426 1.8426 5.8703
1.8426 1.8426 2.1008
```

Summary:
N(E_F) ... 0.53 states/eV per atom
Density ... 7.43 g/cm3
Formation energy ... -379.7 meV/atom
Polymorph energy (0 for the lowest one) ... 0 meV per atom
Spin magnetization ... 0.0 μB per cell



11.
Compound: Rb2UCr2S6
Source: the Alexandria database
Functional: PBE
Structure: optimized geometry

Structure (POSCAR):
```
Rb2UCr2S6
1.0
3.1622 -5.5457 0.0000
3.1622 5.5457 0.0000
-2.0410 0.0000 7.8621
Rb U Cr S
2 1 2 6
Cartesian
3.1622 3.7350 0.0000
3.1622 -3.7350 0.0000
-1.0205 0.0000 3.9311
2.1417 1.8498 3.9311
2.1417 -1.8498 3.9311
0.1020 1.9780 5.3054
1.2524 0.0000 2.5428
0.1020 -1.9780 5.3054
4.1815 1.9780 2.5567
3.0310 0.0000 5.3194
4.1815 -1.9780 2.5567
```

Summary:
N(E_F) ... 0.58 states/eV per atom
Density ... 4.25 g/cm3
Energy relative to the elements, uncorrected ... -1093 meV per atom
Spin magnetization ... 8.0 μB per cell



12.
Compound: LaSbPb2
Source: the Alexandria database
Functional: PBE
Structure: optimized geometry

Structure (POSCAR):
```
LaSbPb2
1.0
3.4994 0.0000 0.0000
0.0000 6.0871 0.0000
-0.1112 0.0000 5.8079
La Sb Pb
1 1 2
Cartesian
0.0000 0.0000 0.0000
1.6941 0.0000 2.9040
0.9877 3.0435 4.3700
2.4005 3.0435 1.4379
```

Summary:
N(E_F) ... 0.86 states/eV per atom
Density ... 9.06 g/cm3
Energy relative to the elements, uncorrected ... -339 meV per atom
Spin magnetization ... 0.0 μB per cell



13.
Compound: PmLuSn2
Source: the Alexandria database
Functional: PBE
Structure: optimized geometry

Structure (POSCAR):
```
PmLuSn2
1.0
4.8666 0.0000 0.0000
0.0000 4.8666 0.0000
0.0000 0.0000 4.4883
Pm Lu Sn
1 1 2
Cartesian
0.0000 0.0000 0.0000
2.4333 2.4333 0.0000
0.0000 2.4333 2.2441
2.4333 0.0000 2.2441
```

Summary:
N(E_F) ... 0.94 states/eV per atom
Density ... 8.71 g/cm3
Formation energy ... -600.5 meV/atom
Spin magnetization ... 0.0 μB per cell



14.
Compound: LaZnRe
Source: the Alexandria database
Functional: PBE
Structure: optimized geometry

Structure (POSCAR):
```
LaZnRe
1.0
-1.7601 1.7601 5.0620
1.7601 -1.7601 5.0620
1.7601 1.7601 -5.0620
La Zn Re
1 1 1
Cartesian
0.0000 0.0000 0.0000
0.0000 0.0000 2.9139
0.0000 0.0000 7.1453
```

Summary:
N(E_F) ... 0.49 states/eV per atom
Density ... 10.34 g/cm3
Formation energy ... 305.7 meV/atom
Polymorph energy (0 for the lowest one) ... 0 meV per atom
Spin magnetization ... 0.0 μB per cell



15.
Compound: LaSm2Ho5Tm
Source: the Alexandria database
Functional: PBE
Structure: optimized geometry

Structure (POSCAR):
```
LaSm2Ho5Tm
1.0
-4.3890 4.3890 7.6410
4.3890 -4.3890 7.6410
4.3890 4.3890 -7.6410
La Sm Ho Tm
2 4 10 2
Cartesian
0.0000 0.0000 3.8205
0.0000 0.0000 11.4615
5.4058 1.0168 0.0000
1.0168 3.3722 0.0000
3.3722 1.0168 7.6410
-1.0168 3.3722 7.6410
0.0000 0.0000 0.0000
2.5641 1.8249 -2.0650
2.5641 -1.8249 5.5760
2.5641 1.8249 2.0650
2.5641 -1.8249 9.7060
0.0000 0.0000 7.6410
1.8249 6.2139 -2.0650
1.8249 2.5641 5.5760
1.8249 6.2139 2.0650
1.8249 2.5641 9.7060
4.3890 0.0000 3.8205
0.0000 4.3890 3.8205
```

Summary:
N(E_F) ... 1.14 states/eV per atom
Density ... 8.08 g/cm3
Formation energy ... 271.4 meV/atom
Spin magnetization ... 0.0 μB per cell



16.
Compound: BaYBi2
Source: the Alexandria database
Functional: PBE
Structure: optimized geometry

Structure (POSCAR):
```
BaYBi2
1.0
2.3026 1.3294 8.4251
-2.3026 1.3294 8.4251
0.0000 -2.6588 8.4251
Ba Y Bi
1 1 2
Cartesian
0.0000 0.0000 0.0000
0.0000 0.0000 4.3356
0.0000 0.0000 14.4975
0.0000 0.0000 19.3423
```

Summary:
N(E_F) ... 0.56 states/eV per atom
Density ... 6.91 g/cm3
Formation energy ... -756.5 meV/atom
Polymorph energy (0 for the lowest one) ... 31 meV per atom
Spin magnetization ... 0.0 μB per cell



17.
Compound: Ac2MgAu2O6
Source: the Alexandria database
Functional: PBE
Structure: optimized geometry

Structure (POSCAR):
```
Ac2MgAu2O6
1.0
3.0915 1.7849 5.3967
-3.0915 1.7849 5.3967
0.0000 -3.5698 5.3967
Ac Mg Au O
2 1 2 6
Cartesian
0.0000 0.0000 3.4280
0.0000 0.0000 12.7621
0.0000 0.0000 0.0000
0.0000 0.0000 6.6525
0.0000 0.0000 9.5376
-1.8015 -1.0401 9.3194
0.0000 -2.0802 6.8707
-1.8015 1.0401 6.8707
1.8015 -1.0401 9.3194
0.0000 2.0802 9.3194
1.8015 1.0401 6.8707
```

Summary:
N(E_F) ... 0.52 states/eV per atom
Density ... 9.00 g/cm3
Energy relative to the elements, uncorrected ... -1626 meV per atom
Spin magnetization ... 1.9 μB per cell



18.
Compound: TbPa3Ir2
Source: the Alexandria database
Functional: PBE
Structure: optimized geometry

Structure (POSCAR):
```
TbPa3Ir2
1.0
8.2886 -2.3428 0.0000
8.2886 2.3428 0.0000
-3.1939 0.0000 6.9743
Tb Pa Ir
2 6 4
Cartesian
1.4142 0.0000 1.3446
11.9691 0.0000 5.6298
-1.2204 0.0000 4.8714
4.9453 0.0000 0.2956
4.7680 0.0000 3.2352
8.6153 0.0000 3.7392
8.4380 0.0000 6.6787
14.6037 0.0000 2.1030
1.9927 0.0000 4.4511
7.5496 0.0000 1.1153
5.8337 0.0000 5.8591
11.3906 0.0000 2.5233
```

Summary:
N(E_F) ... 1.47 states/eV per atom
Density ... 15.16 g/cm3
Formation energy ... -470.4 meV/atom
Spin magnetization ... 0.0 μB per cell



19.
Compound: ErAl3Rh
Source: the Alexandria database
Functional: PBE
Structure: optimized geometry

Structure (POSCAR):
```
ErAl3Rh
1.0
-2.6317 3.6947 4.7114
2.6317 -3.6947 4.7114
2.6317 3.6947 -4.7114
Er Al Rh
2 6 2
Cartesian
0.0000 1.8473 0.0866
2.6317 1.8473 4.6248
1.3159 3.2735 -2.3557
1.3159 -0.4212 2.3557
2.6317 1.8473 1.6239
0.0000 1.8473 3.0875
-1.3159 4.1158 2.3557
1.3159 4.1158 2.3557
2.6317 0.0000 0.0000
0.0000 0.0000 4.7114
```

Summary:
N(E_F) ... 0.46 states/eV per atom
Density ... 6.36 g/cm3
Formation energy ... -534.6 meV/atom
Polymorph energy (0 for the lowest one) ... 165 meV per atom
Spin magnetization ... 0.0 μB per cell



20.
Compound: Sc3MnBe
Source: the Alexandria database
Functional: PBE
Structure: optimized geometry

Structure (POSCAR):
```
Sc3MnBe
1.0
4.7613 0.0000 0.0000
0.0000 4.7613 0.0000
0.0000 0.0000 4.7613
Sc Mn Be
3 1 1
Cartesian
0.0000 0.0000 2.3806
0.0000 2.3806 0.0000
2.3806 0.0000 0.0000
0.0000 0.0000 0.0000
2.3806 2.3806 2.3806
```

Summary:
N(E_F) ... 1.20 states/eV per atom
Density ... 3.06 g/cm3
Formation energy ... 530.5 meV/atom
Polymorph energy (0 for the lowest one) ... 0 meV per atom
Spin magnetization ... 0.0 μB per cell



21.
Compound: Dy3Er4Ag
Source: the Alexandria database
Functional: PBE
Structure: optimized geometry

Structure (POSCAR):
```
Dy3Er4Ag
1.0
3.5202 0.0000 0.0000
0.0000 3.5202 0.0000
0.0000 0.0000 18.8435
Dy Er Ag
3 4 1
Cartesian
0.0000 0.0000 0.0000
0.0000 0.0000 4.9874
0.0000 0.0000 13.8561
1.7601 1.7601 2.5024
1.7601 1.7601 7.5256
1.7601 1.7601 11.3179
1.7601 1.7601 16.3411
0.0000 0.0000 9.4217
```

Summary:
N(E_F) ... 1.17 states/eV per atom
Density ... 8.99 g/cm3
Formation energy ... -58.2 meV/atom
Spin magnetization ... 0.0 μB per cell



22.
Compound: HfSi3Br
Source: the Alexandria database
Functional: PBE
Structure: optimized geometry

Structure (POSCAR):
```
HfSi3Br
1.0
5.1974 0.0000 0.0000
0.0000 5.1974 0.0000
0.0000 0.0000 5.1974
Hf Si Br
1 3 1
Cartesian
0.0000 0.0000 0.0000
0.0000 0.0000 2.5987
0.0000 2.5987 0.0000
2.5987 0.0000 0.0000
2.5987 2.5987 2.5987
```

Summary:
N(E_F) ... 1.65 states/eV per atom
Density ... 4.05 g/cm3
Energy relative to the elements, uncorrected ... 838 meV per atom
Polymorph energy (0 for the lowest one) ... 0 meV per atom
Spin magnetization ... 0.0 μB per cell



23.
Compound: Tm4TlAg
Source: the Alexandria database
Functional: PBE
Structure: optimized geometry

Structure (POSCAR):
```
Tm4TlAg
1.0
4.9784 0.0000 0.0000
0.0000 4.9784 0.0000
0.0000 0.0000 7.2903
Tm Tl Ag
4 1 1
Cartesian
0.0000 2.4892 1.7288
0.0000 2.4892 5.5616
2.4892 0.0000 1.7288
2.4892 0.0000 5.5616
0.0000 0.0000 3.6452
2.4892 2.4892 0.0000
```

Summary:
N(E_F) ... 0.85 states/eV per atom
Density ... 9.08 g/cm3
Formation energy ... 1.4 meV/atom
Polymorph energy (0 for the lowest one) ... 202 meV per atom
Spin magnetization ... 0.0 μB per cell



24.
Compound: Y2CuMoC
Source: the Alexandria database
Functional: PBE
Structure: optimized geometry

Structure (POSCAR):
```
Y2CuMoC
1.0
4.9277 0.0000 0.0000
0.0000 4.9277 0.0000
0.0000 0.0000 4.0369
Y Cu Mo C
2 1 1 1
Cartesian
0.0000 2.4639 0.0000
2.4639 0.0000 0.0000
0.0000 0.0000 2.0184
2.4639 2.4639 2.0184
2.4639 2.4639 0.0000
```

Summary:
N(E_F) ... 1.19 states/eV per atom
Density ... 5.92 g/cm3
Formation energy ... -15.9 meV/atom
Spin magnetization ... 0.0 μB per cell



25.
Compound: Nb2VIr2
Source: the Alexandria database
Functional: PBE
Structure: optimized geometry

Structure (POSCAR):
```
Nb2VIr2
1.0
7.5194 0.0000 0.0000
0.0000 7.5194 0.0000
0.0000 0.0000 3.0159
Nb V Ir
4 2 4
Cartesian
1.2717 2.4879 0.0000
2.4879 6.2476 0.0000
5.0314 1.2717 0.0000
6.2476 5.0314 0.0000
0.0000 0.0000 1.5079
3.7597 3.7597 1.5079
0.9847 4.7444 1.5079
2.7750 0.9847 1.5079
4.7444 6.5347 1.5079
6.5347 2.7750 1.5079
```

Summary:
N(E_F) ... 1.18 states/eV per atom
Density ... 12.10 g/cm3
Formation energy ... -181.7 meV/atom
Spin magnetization ... 4.4 μB per cell